Material: Ba2MgW
Method: DFT, PBE
State: optimized geometry

## Properties
- V (Å³ per atom) = 31.01
- formation enthalpy at 0 K (eV per formula unit) = 4.48

Cell and atoms, written as CIF:
```
data_Ba2MgW
_cell_length_a 3.4394
_cell_length_b 3.4394
_cell_length_c 36.3241
_cell_angle_alpha 90.00
_cell_angle_beta 90.00
_cell_angle_gamma 120.00
_space_group_name_H-M_alt 'R -3 m'
_space_group_IT_number 166
_space_group_name_Hall '-R 3 2"'
loop_
_atom_site_label
_atom_site_type_symbol
_atom_site_fract_x
_atom_site_fract_y
_atom_site_fract_z
Ba1 Ba 0.0000 0.0000 0.2394
Mg1 Mg 0.0000 0.0000 0.0000
W1 W 0.0000 0.0000 0.5000
```